No. 1
A plane-wave DFT calculation with SCAN was carried out for a PBEsol-optimized structure of LiCdCu2.

Cell: 3.7576 3.7576 7.7324 Å, 90.00 90.00 90.00°
With the nearest neighbours (Å) after each atom.
Space group I4/mmm (No. 139)
Asymmetric unit:
Li1 0.0000 0.0000 0.0000 [2 per cell]  4 Cd 2.66, 8 Cu 2.70
Cd1 0.0000 0.0000 0.5000 [2 per cell]  4 Li 2.66, 8 Cu 2.70
Cu1 0.0000 0.5000 0.2500 [4 per cell]  4 Cu 2.66, 4 Cd 2.70, 4 Li 2.70

The calculation puts the energy relative to the elements at -0.031 eV per atom. The crystal system is tetragonal. As for the total DFT energy (no corrections): -15.832 eV per atom. For the volume, the calculation gives 13.65 Å³ per atom.

=====

No. 2
A plane-wave DFT calculation with SCAN was carried out for a PBEsol-optimized structure of Li2CdCu.

Cell: 3.8872 3.8872 3.9596 Å, 90.00 90.00 90.00°
With the nearest neighbours (Å) after each atom.
Space group P4/mmm (No. 123)
Asymmetric unit:
Li1 0.0000 0.5000 0.0000 [2 per cell]  4 Li 2.75, 4 Cd 2.77, 4 Cu 2.77
Cd1 0.0000 0.0000 0.5000 [1 per cell]  4 Cu 2.75, 8 Li 2.77
Cu1 0.5000 0.5000 0.5000 [1 per cell]  4 Cd 2.75, 8 Li 2.77

The calculation puts the energy relative to the elements at -0.103 eV per atom. The crystal system is tetragonal. As for the total DFT energy (no corrections): -12.702 eV per atom. For the volume, the calculation gives 14.96 Å³ per atom.

=====

No. 3
A plane-wave DFT calculation with SCAN was carried out for a PBEsol-optimized structure of LiCdCu2.

Cell: 3.9339 3.9339 7.0626 Å, 90.00 90.00 90.00°
With the nearest neighbours (Å) after each atom.
Space group I-4m2 (No. 119)
Asymmetric unit:
Li1 0.0000 0.0000 0.0000 [2 per cell]  4 Cd 2.64, 8 Cu 2.64-2.78
Cd1 0.0000 0.5000 0.2500 [2 per cell]  8 Cu 2.64-2.78, 4 Li 2.64
Cu1 0.0000 0.0000 0.5000 [2 per cell]  4 Cd 2.64, 4 Cu 2.64, 4 Li 2.78
Cu2 0.0000 0.5000 0.7500 [2 per cell]  4 Li 2.64, 4 Cu 2.64, 4 Cd 2.78

The calculation puts the energy relative to the elements at -0.036 eV per atom. The crystal system is tetragonal. As for the total DFT energy (no corrections): -15.836 eV per atom. For the volume, the calculation gives 13.66 Å³ per atom.

=====

No. 4
A plane-wave DFT calculation with SCAN was carried out for a PBEsol-optimized structure of LiCd2Cu.

Cell: 9.8936 3.1703 4.4759 Å, 90.00 113.49 90.00°
With the nearest neighbours (Å) after each atom.
Space group Cm (No. 8)
Asymmetric unit:
Li1 0.0000 0.0000 0.0000 [2 per cell]  2 Cu 2.63, 7 Cd 2.73-2.94
Cd1 0.2376 0.0000 0.7613 [2 per cell]  4 Cu 2.74-2.75, 3 Li 2.86-2.94, 3 Cd 2.92-3.06
Cd2 0.4687 0.0000 0.4660 [2 per cell]  2 Cu 2.69, 4 Li 2.73-2.78, 2 Cd 2.92
Cu1 0.2298 0.5000 0.2551 [2 per cell]  2 Li 2.63, 6 Cd 2.69-2.75

The calculation puts the energy relative to the elements at -0.090 eV per atom. The crystal system is monoclinic. As for the total DFT energy (no corrections): -19.695 eV per atom. For the volume, the calculation gives 16.09 Å³ per atom.

=====

No. 5
A plane-wave DFT calculation with SCAN was carried out for a PBEsol-optimized structure of LiCdCu.

Cell: 4.3260 4.3260 2.7257 Å, 90.00 90.00 120.00°
With the nearest neighbours (Å) after each atom.
Space group P3m1 (No. 156)
Asymmetric unit:
Li1 0.0000 0.0000 0.0000 [1 per cell]  3 Cu 2.54, 2 Li 2.73, 3 Cd 2.73
Cd1 0.6667 0.3333 0.5970 [1 per cell]  2 Cd 2.73, 6 Li 2.73-2.98, 6 Cu 2.76-2.95
Cu1 0.3333 0.6667 0.1701 [1 per cell]  3 Li 2.54, 2 Cu 2.73, 3 Cd 2.76

The value obtained for the relative energy among the computed polymorphs is 0 meV per atom. The calculation puts the energy relative to the elements at -0.085 eV per atom. The crystal system is trigonal. As for the total DFT energy (no corrections): -16.086 eV per atom. For the volume, the calculation gives 14.73 Å³ per atom.

=====

No. 6
A plane-wave DFT calculation with SCAN was carried out for a PBEsol-optimized structure of Li2CdCu.

Cell: 2.7073 4.2658 5.3510 Å, 90.00 102.30 90.00°
With the nearest neighbours (Å) after each atom.
Space group Pm (No. 6)
Asymmetric unit:
Li1 0.0000 0.0000 0.0000 [1 per cell]  4 Li 2.60-2.71, 2 Cu 2.72-2.78, 2 Cd 2.79
Li2 0.1282 0.5000 0.7448 [1 per cell]  4 Li 2.60-2.71, 2 Cd 2.61-2.85, 2 Cu 2.62
Cd1 0.6813 0.5000 0.2614 [1 per cell]  4 Li 2.61-2.85, 2 Cd 2.71, 2 Cu 2.75
Cu1 0.3753 0.0000 0.5138 [1 per cell]  4 Li 2.62-2.78, 2 Cu 2.71, 2 Cd 2.75

The calculation puts the energy relative to the elements at -0.088 eV per atom. The crystal system is monoclinic. As for the total DFT energy (no corrections): -12.686 eV per atom. For the volume, the calculation gives 15.10 Å³ per atom.

=====

No. 7
A plane-wave DFT calculation with SCAN was carried out for a PBEsol-optimized structure of LiCd2Cu.

Cell: 4.4556 4.4556 3.1882 Å, 90.00 90.00 90.00°
With the nearest neighbours (Å) after each atom.
Space group P4/mmm (No. 123)
Asymmetric unit:
Li1 0.0000 0.0000 0.0000 [1 per cell]  8 Cd 2.74
Cd1 0.0000 0.5000 0.5000 [2 per cell]  4 Li 2.74, 4 Cu 2.74
Cu1 0.5000 0.5000 0.0000 [1 per cell]  8 Cd 2.74

The calculation puts the energy relative to the elements at -0.123 eV per atom. The crystal system is tetragonal. As for the total DFT energy (no corrections): -19.727 eV per atom. For the volume, the calculation gives 15.82 Å³ per atom.

=====

No. 8
A plane-wave DFT calculation with SCAN was carried out for a PBEsol-optimized structure of LiCd2Cu.

Cell: 4.4671 4.4671 6.3438 Å, 90.00 90.00 90.00°
With the nearest neighbours (Å) after each atom.
Space group I4/mmm (No. 139)
Asymmetric unit:
Li1 0.0000 0.0000 0.0000 [2 per cell]  8 Cd 2.74
Cd1 0.0000 0.5000 0.2500 [4 per cell]  4 Li 2.74, 4 Cu 2.74
Cu1 0.0000 0.0000 0.5000 [2 per cell]  8 Cd 2.74

The calculation puts the energy relative to the elements at -0.157 eV per atom. The crystal system is tetragonal. As for the total DFT energy (no corrections): -19.762 eV per atom. For the volume, the calculation gives 15.82 Å³ per atom.

=====

No. 9
A plane-wave DFT calculation with SCAN was carried out for a PBEsol-optimized structure of LiCd2Cu.

Cell: 3.1830 3.1958 6.2889 Å, 90.00 90.00 90.00°
With the nearest neighbours (Å) after each atom.
Space group Pmmm (No. 47)
Asymmetric unit:
Li1 0.0000 0.0000 0.0000 [1 per cell]  8 Cd 2.77
Cd1 0.5000 0.5000 0.2556 [2 per cell]  4 Cu 2.73, 4 Li 2.77
Cu1 0.0000 0.0000 0.5000 [1 per cell]  8 Cd 2.73

The calculation puts the energy relative to the elements at -0.128 eV per atom. The crystal system is orthorhombic. As for the total DFT energy (no corrections): -19.732 eV per atom. For the volume, the calculation gives 15.99 Å³ per atom.

=====

No. 10
A plane-wave DFT calculation with SCAN was carried out for a PBEsol-optimized structure of LiCdCu.

Cell: 5.8582 5.8582 5.8582 Å, 90.00 90.00 90.00°
With the nearest neighbours (Å) after each atom.
Space group F-43m (No. 216)
Asymmetric unit:
Li1 0.0000 0.0000 0.0000 [4 per cell]  4 Cd 2.54, 4 Cu 2.54
Cd1 0.2500 0.2500 0.7500 [4 per cell]  4 Li 2.54
Cu1 0.2500 0.2500 0.2500 [4 per cell]  4 Li 2.54

The value obtained for the relative energy among the computed polymorphs is 345 meV per atom. The calculation puts the energy relative to the elements at 0.260 eV per atom. The crystal system is cubic. As for the total DFT energy (no corrections): -15.741 eV per atom. For the volume, the calculation gives 16.75 Å³ per atom.

=====

No. 11
A plane-wave DFT calculation with SCAN was carried out for a PBEsol-optimized structure of LiCdCu2P.

Cell: 4.2338 4.2338 4.1471 Å, 90.00 90.00 90.00°
With the nearest neighbours (Å) after each atom.
Space group P4/mmm (No. 123)
Asymmetric unit:
Li1 0.0000 0.0000 0.0000 [1 per cell]  2 P 2.07, 4 Cu 2.12
Cd1 0.5000 0.5000 0.5000 [1 per cell]  8 Cu 2.96, 4 P 2.99
Cu1 0.0000 0.5000 0.0000 [2 per cell]  2 Li 2.12
P1 0.0000 0.0000 0.5000 [1 per cell]  2 Li 2.07

The calculation puts the energy relative to the elements at 0.545 eV per atom. The crystal system is tetragonal. As for the total DFT energy (no corrections): -14.176 eV per atom. For the volume, the calculation gives 14.87 Å³ per atom.

=====

No. 12
A plane-wave DFT calculation with SCAN was carried out for a PBEsol-optimized structure of LiCdCu2Pt.

Cell: 4.5945 4.5945 4.3259 Å, 90.00 90.00 90.00°
With the nearest neighbours (Å) after each atom.
Space group P4/mmm (No. 123)
Asymmetric unit:
Li1 0.0000 0.0000 0.0000 [1 per cell]  2 Cd 2.16
Cd1 0.0000 0.0000 0.5000 [1 per cell]  2 Li 2.16, 4 Cu 2.30
Cu1 0.0000 0.5000 0.5000 [2 per cell]  2 Cd 2.30
Pt1 0.5000 0.5000 0.0000 [1 per cell]  8 Cu 3.16, 4 Li 3.25

The calculation puts the energy relative to the elements at 0.987 eV per atom. The crystal system is tetragonal. As for the total DFT energy (no corrections): -25.692 eV per atom. For the volume, the calculation gives 18.26 Å³ per atom.